First-principles (PBEsol) data for a geometry-optimized TaMo2W structure, as listed in the Alexandria database.

Structure (POSCAR):
```
TaMo2W
1.0
4.478 0.000 0.000
2.239 3.878 0.000
2.239 1.293 3.656
Mo W Ta
2 1 1
Direct
0.000 0.000 0.000
0.250 0.250 0.250
0.750 0.750 0.750
0.500 0.500 0.500
```

total moment = 0.000 μB per atom
energy of formation = -0.0932 eV/atom
crystal system = cubic